Record 1
LiCS2 | meta-GGA SCAN | single point on PBEsol structure

```
LiCS2
1.0
3.7518 0.0000 0.0000
-1.8759 3.2492 0.0000
0.0000 0.0000 17.5130
Li C S
3 3 6
Direct
0.0000 0.0000 0.0000 Li
0.3333 0.6667 0.6667 Li
0.6667 0.3333 0.3333 Li
0.0000 0.0000 0.5000 C
0.3333 0.6667 0.1667 C
0.6667 0.3333 0.8333 C
0.0000 0.0000 0.4093 S
0.0000 0.0000 0.5907 S
0.3333 0.6667 0.0760 S
0.3333 0.6667 0.2573 S
0.6667 0.3333 0.7427 S
0.6667 0.3333 0.9240 S
```

Calculated values
The spin magnetization comes out at 2.9 μB/cell. The calculation puts the raw formation energy at 14 meV/atom.

---

Record 2
LiSb3C | meta-GGA SCAN | single point on PBEsol structure

```
LiSb3C
1.0
4.7675 0.0000 0.0000
0.0000 4.7675 0.0000
0.0000 0.0000 4.7675
Li Sb C
1 3 1
Direct
0.0000 0.0000 0.0000 Li
0.0000 0.5000 0.5000 Sb
0.5000 0.0000 0.5000 Sb
0.5000 0.5000 0.0000 Sb
0.5000 0.5000 0.5000 C
```

Calculated values
The spin magnetization comes out at 0.4 μB/cell. The calculation puts the raw formation energy at 890 meV/atom.

---

Record 3
Li2ScC2 | meta-GGA SCAN | single point on PBEsol structure

```
Li2ScC2
1.0
5.5287 0.0000 0.0000
0.0000 5.5287 0.0000
0.0000 0.0000 3.7683
Li Sc C
4 2 4
Direct
0.1521 0.3479 0.0000 Li
0.3479 0.8479 0.0000 Li
0.6521 0.1521 0.0000 Li
0.8479 0.6521 0.0000 Li
0.0000 0.0000 0.5000 Sc
0.5000 0.5000 0.5000 Sc
0.0868 0.5868 0.5000 C
0.4132 0.0868 0.5000 C
0.5868 0.9132 0.5000 C
0.9132 0.4132 0.5000 C
```

Calculated values
As for the formation energy: 16 meV per atom. The spin magnetization comes out at 0.0 μB/cell.

---

> Look up the spin magnetization of the second one.

0.4 μB/cell